This record from the Alexandria database describes a relaxed MgInC3 crystal. The functional is PBE-GGA.

a = 4.3403 Å, b = 4.3403 Å, c = 4.3403 Å
α = 90.00°, β = 90.00°, γ = 90.00°
Last column: nearest neighbours and their distance in Å.
Atoms (fractional coordinates):
Mg (0.0000, 0.0000, 0.0000)  12 C 3.07
In (0.5000, 0.5000, 0.5000)  6 C 2.17
C (0.0000, 0.5000, 0.5000)  2 In 2.17
C (0.5000, 0.0000, 0.5000)  2 In 2.17
C (0.5000, 0.5000, 0.0000)  2 In 2.17

* energy above the most stable polymorph in this dataset: 0.55 eV/f.u.
* calculated formation energy: 269.8 kJ per mole of atoms
* total magnetization: 0.000 μB/atom


This record from the Alexandria database describes a relaxed AgSbTe2N crystal. The functional is PBE-GGA.

a = 5.6057 Å, b = 5.6057 Å, c = 4.0293 Å
α = 90.00°, β = 90.00°, γ = 90.00°
Last column: nearest neighbours and their distance in Å.
Atoms (fractional coordinates):
Ag (0.0000, 0.0000, 0.0000)  2 N 2.01
Sb (0.5000, 0.5000, 0.5000)  8 Te 3.45
Te (0.0000, 0.5000, 0.0000)  2 Ag 2.80
Te (0.5000, 0.0000, 0.0000)  2 Ag 2.80
N (0.0000, 0.0000, 0.5000)  2 Ag 2.01

* E_form (uncorrected): 960 meV/atom
* energy above the most stable polymorph in this dataset: 1.18 eV/f.u.
* total magnetization: 0.384 μB/atom


This record from the Alexandria database describes a relaxed Li2Ce2TmTl2 crystal. The functional is PBE-GGA.

a = 9.3047 Å, b = 9.3047 Å, c = 9.3047 Å
α = 28.93°, β = 28.93°, γ = 28.93°
Last column: nearest neighbours and their distance in Å.
Atoms (fractional coordinates):
Li (0.0932, 0.0932, 0.0932)  3 Tl 2.69
Li (0.9068, 0.9068, 0.9068)  3 Tl 2.69
Ce (0.3569, 0.3569, 0.3569)  3 Ce 2.97, 3 Li 3.26
Ce (0.6431, 0.6431, 0.6431)  3 Ce 2.97, 3 Li 3.26
Tm (0.5000, 0.5000, 0.5000)  6 Tl 3.21, 6 Li 3.33
Tl (0.2323, 0.2323, 0.2323)  3 Li 2.69
Tl (0.7677, 0.7677, 0.7677)  3 Li 2.69

* calculated formation energy: -15.6 kJ per mole of atoms
* total magnetization: 0.196 μB/atom


This record from the Alexandria database describes a relaxed ScAsP2 crystal. The functional is PBE-GGA.

a = 5.4571 Å, b = 5.4571 Å, c = 3.8745 Å
α = 92.64°, β = 92.64°, γ = 38.85°
Last column: nearest neighbours and their distance in Å.
Atoms (fractional coordinates):
Sc (0.0000, 0.0000, 0.0000)  7 P 2.71-2.91, 2 As 2.91-3.00
As (0.2166, 0.2166, 0.5102)  3 P 2.33-2.44
P (0.4420, 0.4420, 0.4899)  1 As 2.33
P (0.7167, 0.7167, 0.9300)  2 As 2.44

* calculated formation energy: -56.5 kJ per mole of atoms
* total magnetization: 0.000 μB/atom


This record from the Alexandria database describes a relaxed La2Al4Cu3Ag crystal. The functional is PBE-GGA.

a = 4.3501 Å, b = 4.3501 Å, c = 10.3431 Å
α = 90.00°, β = 90.00°, γ = 90.00°
Last column: nearest neighbours and their distance in Å.
Atoms (fractional coordinates):
La (0.0000, 0.5000, 0.2481)  8 Al 3.30-3.36, 6 Cu 3.33-3.39, 2 Ag 3.39
La (0.5000, 0.0000, 0.7519)  8 Al 3.30-3.36, 6 Cu 3.33-3.39, 2 Ag 3.39
Al (0.0000, 0.0000, 0.0000)  4 Cu 2.53
Al (0.0000, 0.5000, 0.6365)  3 Cu 2.46-2.59, 2 Ag 2.59
Al (0.5000, 0.0000, 0.3635)  3 Cu 2.46-2.59, 2 Ag 2.59
Al (0.5000, 0.5000, 0.0000)  4 Cu 2.53
Cu (0.0000, 0.5000, 0.8747)  5 Al 2.46-2.53
Cu (0.5000, 0.0000, 0.1253)  5 Al 2.46-2.53
Cu (0.5000, 0.5000, 0.5000)  4 Al 2.59
Ag (0.0000, 0.0000, 0.5000)  4 Al 2.59

* calculated formation energy: -37.1 kJ per mole of atoms
* total magnetization: 0.000 μB/atom


This record from the Alexandria database describes a relaxed TlCuRuSe2 crystal. The functional is PBE-GGA.

a = 4.8592 Å, b = 4.8592 Å, c = 4.9376 Å
α = 90.00°, β = 90.00°, γ = 90.00°
Last column: nearest neighbours and their distance in Å.
Atoms (fractional coordinates):
Tl (0.0000, 0.0000, 0.0000)  4 Cu 3.44, 8 Se 3.46
Cu (0.5000, 0.5000, 0.0000)  2 Ru 2.47
Ru (0.5000, 0.5000, 0.5000)  4 Se 2.43, 2 Cu 2.47
Se (0.0000, 0.5000, 0.5000)  2 Ru 2.43
Se (0.5000, 0.0000, 0.5000)  2 Ru 2.43

* E_form (uncorrected): 267 meV/atom
* total magnetization: 0.184 μB/atom


This record from the Alexandria database describes a relaxed SrTa2Hg crystal. The functional is PBE-GGA.

a = 2.9958 Å, b = 2.9958 Å, c = 9.9693 Å
α = 90.00°, β = 90.00°, γ = 90.00°
Last column: nearest neighbours and their distance in Å.
Atoms (fractional coordinates):
Sr (0.0000, 0.0000, 0.0000)  4 Sr 3.00
Ta (0.0000, 0.0000, 0.5088)  8 Ta 3.00-3.01, 4 Hg 3.10
Ta (0.5000, 0.5000, 0.2945)  8 Ta 3.00-3.01
Hg (0.5000, 0.5000, 0.7357)  4 Hg 3.00, 4 Ta 3.10

* calculated formation energy: 44.9 kJ per mole of atoms
* total magnetization: 0.000 μB/atom


This record from the Alexandria database describes a relaxed La2Ce4Sn3 crystal. The functional is PBE-GGA.

a = 8.7276 Å, b = 8.7276 Å, c = 3.8756 Å
α = 90.00°, β = 90.00°, γ = 120.00°
Last column: nearest neighbours and their distance in Å.
Atoms (fractional coordinates):
La (0.3333, 0.6667, 0.0000)  6 Sn 3.35, 3 Ce 3.42
La (0.6667, 0.3333, 0.0000)  6 Sn 3.35, 3 Ce 3.42
Ce (0.0000, 0.0000, 0.5000)  6 Ce 2.82
Ce (0.0000, 0.2351, 0.0000)  2 Ce 2.82
Ce (0.2351, 0.0000, 0.0000)  2 Ce 2.82
Ce (0.7649, 0.7649, 0.0000)  2 Ce 2.82
Sn (0.0000, 0.6219, 0.5000)  5 Ce 3.30-3.48, 4 La 3.35
Sn (0.3781, 0.3781, 0.5000)  5 Ce 3.30-3.48, 4 La 3.35
Sn (0.6219, 0.0000, 0.5000)  5 Ce 3.30-3.48, 4 La 3.35

* calculated formation energy: -37.9 kJ per mole of atoms
* total magnetization: 0.165 μB/atom


This record from the Alexandria database describes a relaxed Nb3Fe4Ni crystal. The functional is PBE-GGA.

a = 4.8309 Å, b = 4.8384 Å, c = 4.9256 Å
α = 90.00°, β = 90.09°, γ = 102.14°
Last column: nearest neighbours and their distance in Å.
Atoms (fractional coordinates):
Nb (0.0000, 0.0000, 0.0000)  4 Fe 2.40-2.56
Nb (0.2096, 0.7841, 0.5003)  4 Fe 2.40-2.56
Nb (0.6051, 0.3923, 0.7501)  2 Ni 2.46, 4 Fe 2.71-2.72
Fe (0.0965, 0.2772, 0.4940)  1 Fe 2.29, 2 Nb 2.40-2.56
Fe (0.1140, 0.5071, 0.0062)  1 Fe 2.29, 2 Nb 2.40-2.56
Fe (0.4912, 0.8841, 0.0063)  1 Fe 2.29, 2 Nb 2.40-2.55
Fe (0.7186, 0.9010, 0.4941)  1 Fe 2.29, 2 Nb 2.40-2.55
Ni (0.6055, 0.3932, 0.2501)  2 Nb 2.46, 4 Fe 2.69

* calculated formation energy: 12.4 kJ per mole of atoms
* total magnetization: 0.627 μB/atom


This record from the Alexandria database describes a relaxed ZnGa2CuHg crystal. The functional is PBE-GGA.

a = 4.6984 Å, b = 4.6984 Å, c = 4.7804 Å
α = 90.00°, β = 90.00°, γ = 90.00°
Last column: nearest neighbours and their distance in Å.
Atoms (fractional coordinates):
Zn (0.0000, 0.0000, 0.0000)  2 Cu 2.39
Ga (0.0000, 0.5000, 0.5000)  2 Cu 2.35
Ga (0.5000, 0.0000, 0.5000)  2 Cu 2.35
Cu (0.0000, 0.0000, 0.5000)  4 Ga 2.35, 2 Zn 2.39
Hg (0.5000, 0.5000, 0.0000)  4 Zn 3.32, 8 Ga 3.35

* calculated formation energy: 13.3 kJ per mole of atoms
* total magnetization: 0.000 μB/atom


This record from the Alexandria database describes a relaxed Ce2NpC crystal. The functional is PBE-GGA.

a = 8.8837 Å, b = 8.8837 Å, c = 8.8837 Å
α = 21.98°, β = 21.98°, γ = 21.98°
Last column: nearest neighbours and their distance in Å.
Atoms (fractional coordinates):
Ce (0.1096, 0.1096, 0.1096)  3 C 2.45
Ce (0.8904, 0.8904, 0.8904)  3 C 2.45
Np (0.0000, 0.0000, 0.0000)  2 Ce 2.85
C (0.5000, 0.5000, 0.5000)  6 Ce 2.45

* energy above the most stable polymorph in this dataset: 0.00 eV/f.u.
* calculated formation energy: 22.4 kJ per mole of atoms
* total magnetization: 1.036 μB/atom


This record from the Alexandria database describes a relaxed TbZrCd3 crystal. The functional is PBE-GGA.

a = 7.2315 Å, b = 7.2315 Å, c = 5.7315 Å
α = 90.00°, β = 90.00°, γ = 120.00°
Last column: nearest neighbours and their distance in Å.
Atoms (fractional coordinates):
Tb (0.3333, 0.6667, 0.2500)  12 Cd 3.30-3.64
Tb (0.6667, 0.3333, 0.7500)  12 Cd 3.30-3.64
Zr (0.0000, 0.0000, 0.0000)  2 Zr 2.87, 6 Cd 2.92
Zr (0.0000, 0.0000, 0.5000)  2 Zr 2.87, 6 Cd 2.92
Cd (0.2027, 0.4054, 0.7500)  2 Cd 2.83, 2 Zr 2.92
Cd (0.2027, 0.7973, 0.7500)  2 Cd 2.83, 2 Zr 2.92
Cd (0.4054, 0.2027, 0.2500)  2 Cd 2.83, 2 Zr 2.92
Cd (0.5946, 0.7973, 0.7500)  2 Cd 2.83, 2 Zr 2.92
Cd (0.7973, 0.2027, 0.2500)  2 Cd 2.83, 2 Zr 2.92
Cd (0.7973, 0.5946, 0.2500)  2 Cd 2.83, 2 Zr 2.92

* calculated formation energy: 2.6 kJ per mole of atoms
* total magnetization: 0.000 μB/atom


- Look up the total magnetization of the seventh one.
  0.000 μB/atom


- What is the total magnetization in the tenth record?
  0.000 μB/atom


- Among the records above, which one has the highest total magnetization?
  Ce2NpC


- total magnetization of number 6 (TlCuRuSe2)?
  0.184 μB/atom